A relaxed ZnTcPt2 crystal. Source: Alexandria via LeMat-Bulk, functional PBE-GGA. Values from VASP.

Results
D(E_F)   8.1 states/eV/cell
Spin magnetization   0.16 μB per atom
Crystal system   tetragonal
Space-group type   No. 122
ΔE_f   0.24 eV per atom

Quantum ESPRESSO input file:
```
&SYSTEM
  ibrav = 0, nat = 8, ntyp = 3
/
ATOMIC_SPECIES
Zn 65.41 Zn.upf
Tc 98.00 Tc.upf
Pt 195.08 Pt.upf
CELL_PARAMETERS angstrom
-1.9212 1.9212 8.8820
1.9212 -1.9212 8.8820
1.9212 1.9212 -8.8820
ATOMIC_POSITIONS crystal
Zn 0.0000 0.0000 0.0000
Zn 0.7500 0.2500 0.5000
Tc 0.2500 0.7500 0.5000
Tc 0.5000 0.5000 0.0000
Pt 0.1253 0.6250 0.0003
Pt 0.3750 0.3753 0.5003
Pt 0.6247 0.1250 0.9997
Pt 0.8750 0.8747 0.4997
```